1.
# TaHgO2 PBE relaxed
# Crystal system: trigonal
# Total energy in eV/atom: -6.2102
data_TaHgO2
_chemical_formula_sum 'Ta3 Hg3 O6'
_symmetry_space_group_name_H-M 'R -3 m'
_symmetry_Int_Tables_number 166
_symmetry_space_group_name_Hall '-R 3 2"'
_cell_length_a 3.2190
_cell_length_b 3.2190
_cell_length_c 20.6325
_cell_angle_alpha 90.00
_cell_angle_beta 90.00
_cell_angle_gamma 120.00
loop_
_atom_site_label
_atom_site_type_symbol
_atom_site_fract_x
_atom_site_fract_y
_atom_site_fract_z
Ta1 Ta 0.0000 0.0000 0.0000
Hg1 Hg 0.0000 0.0000 0.5000
O1 O 0.0000 0.0000 0.0927


2.
# IrRuW PBE relaxed
# Distance to the lowest polymorph of the same formula in meV/atom: 368
# Crystal system: tetragonal
# Energy of formation from the pure elements in kJ/mol of atoms: 20
data_IrRuW
_chemical_formula_sum 'Ir2 Ru2 W2'
_symmetry_space_group_name_H-M 'I 4 m m'
_symmetry_Int_Tables_number 107
_symmetry_space_group_name_Hall 'I 4 -2'
_cell_length_a 3.284
_cell_length_b 3.284
_cell_length_c 8.482
_cell_angle_alpha 90.00
_cell_angle_beta 90.00
_cell_angle_gamma 90.00
loop_
_atom_site_label
_atom_site_type_symbol
_atom_site_fract_x
_atom_site_fract_y
_atom_site_fract_z
Ir1 Ir 0.000 0.000 0.000
Ru1 Ru 0.000 0.000 0.681
W1 W 0.000 0.000 0.340


3.
# Sr2GeSb3Rh4 PBE relaxed
# Crystal system: tetragonal
# Total energy in eV/atom: -5.6844
data_Sr2GeSb3Rh4
_chemical_formula_sum 'Sr2 Ge1 Sb3 Rh4'
_symmetry_space_group_name_H-M 'P -4 m 2'
_symmetry_Int_Tables_number 115
_cell_length_a 4.473
_cell_length_b 4.473
_cell_length_c 10.816
_cell_angle_alpha 90.00
_cell_angle_beta 90.00
_cell_angle_gamma 90.00
loop_
_symmetry_equiv_pos_as_xyz
'x,y,z'
'y,-x,-z'
'-x,-y,z'
'-y,x,-z'
'-x,y,z'
'-y,-x,-z'
'x,-y,z'
'y,x,-z'
loop_
_atom_site_label
_atom_site_type_symbol
_atom_site_fract_x
_atom_site_fract_y
_atom_site_fract_z
Sr1 Sr 0.000 0.500 0.242
Ge1 Ge 0.500 0.500 0.000
Sb1 Sb 0.000 0.000 0.000
Sb2 Sb 0.000 0.500 0.634
Rh1 Rh 0.000 0.000 0.500
Rh2 Rh 0.000 0.500 0.879
Rh3 Rh 0.500 0.500 0.500


4.
# Ti3InGa2 PBE relaxed
# Crystal system: tetragonal
# Energy of formation from the pure elements in kJ/mol of atoms: -35
data_Ti3InGa2
_chemical_formula_sum 'Ti3 In1 Ga2'
_symmetry_space_group_name_H-M 'P 4/m m m'
_symmetry_Int_Tables_number 123
_symmetry_space_group_name_Hall '-P 4 2'
_cell_length_a 2.891
_cell_length_b 2.891
_cell_length_c 12.113
_cell_angle_alpha 90.00
_cell_angle_beta 90.00
_cell_angle_gamma 90.00
loop_
_atom_site_label
_atom_site_type_symbol
_atom_site_fract_x
_atom_site_fract_y
_atom_site_fract_z
Ti1 Ti 0.000 0.000 0.000
Ti2 Ti 0.000 0.000 0.313
In1 In 0.500 0.500 0.500
Ga1 Ga 0.500 0.500 0.158


5.
# Cs3Ac2Te6Pb PBE relaxed
# Crystal system: monoclinic
# Total energy in eV/atom: -3.9336
data_Cs3Ac2Te6Pb
_chemical_formula_sum 'Cs6 Ac4 Te12 Pb2'
_symmetry_space_group_name_H-M 'C 1 2/m 1'
_symmetry_Int_Tables_number 12
_cell_length_a 8.407
_cell_length_b 14.561
_cell_length_c 9.434
_cell_angle_alpha 90.00
_cell_angle_beta 107.27
_cell_angle_gamma 90.00
loop_
_symmetry_equiv_pos_as_xyz
'x,y,z'
'-x,-y,-z'
'-x,y,-z'
'x,-y,z'
'x+1/2,y+1/2,z'
'-x+1/2,-y+1/2,-z'
'-x+1/2,y+1/2,-z'
'x+1/2,-y+1/2,z'
loop_
_atom_site_label
_atom_site_type_symbol
_atom_site_fract_x
_atom_site_fract_y
_atom_site_fract_z
Cs1 Cs 0.000 0.000 0.000
Cs2 Cs 0.000 0.334 0.000
Ac1 Ac 0.000 0.167 0.500
Te1 Te 0.232 0.335 0.701
Te2 Te 0.236 0.000 0.701
Pb1 Pb 0.000 0.500 0.500


6.
# Ba2LiAl PBE relaxed
# Crystal system: tetragonal
# Energy of formation from the pure elements in kJ/mol of atoms: 1
data_Ba2LiAl
_chemical_formula_sum 'Ba4 Li2 Al2'
_symmetry_space_group_name_H-M 'I -4 m 2'
_symmetry_Int_Tables_number 119
_symmetry_space_group_name_Hall 'I -4 -2'
_cell_length_a 5.716
_cell_length_b 5.716
_cell_length_c 8.071
_cell_angle_alpha 90.00
_cell_angle_beta 90.00
_cell_angle_gamma 90.00
loop_
_atom_site_label
_atom_site_type_symbol
_atom_site_fract_x
_atom_site_fract_y
_atom_site_fract_z
Ba1 Ba 0.000 0.000 0.000
Ba2 Ba 0.000 0.500 0.250
Li1 Li 0.000 0.500 0.750
Al1 Al 0.000 0.000 0.500


Result set for magnetic moment: 0.0 0.0 0.0 0.0 0.0 0.0 μB/f.u., one per record in the order listed.